Record 1
The following is a PBE calculation of a relaxed structure of SbPPb, from the Alexandria database.

## Properties
- Crystal system: triclinic
- Distance to the lowest polymorph of the same formula: 1.3 kJ per mole of atoms
- Formation energy (no corrections): 0.09 eV/atom
- Symmetry: P1 (1)

Cell: 5.103 5.338 7.160 Å, 85.19 87.03 68.99°
Atoms (fractional coordinates):
Sb (0.000, 0.000, 0.000)
Sb (0.098, 0.007, 0.397)
P (0.304, 0.234, 0.806)
P (0.521, 0.404, 0.985)
Pb (0.443, 0.376, 0.385)
Pb (0.751, 0.699, 0.699)

---

Record 2
The following is a PBE calculation of a relaxed structure of Li2TePd6, from the Alexandria database.

## Properties
- Crystal system: monoclinic
- Distance to the lowest polymorph of the same formula: 0.0 kJ per mole of atoms
- Formation energy (no corrections): -0.29 eV/atom
- Symmetry: C2/m (12)

Cell: 7.321 7.321 4.523 Å, 98.70 98.70 139.23°
Atoms (fractional coordinates):
Li (0.174, 0.826, 0.000)
Li (0.826, 0.174, 0.000)
Te (0.000, 0.000, 0.500)
Pd (0.154, 0.479, 0.658)
Pd (0.311, 0.311, 0.154)
Pd (0.479, 0.154, 0.658)
Pd (0.521, 0.846, 0.342)
Pd (0.689, 0.689, 0.846)
Pd (0.846, 0.521, 0.342)

---

Record 3
The following is a PBE calculation of a relaxed structure of CaTeBrCl, from the Alexandria database.

## Properties
- Crystal system: monoclinic
- Distance to the lowest polymorph of the same formula: 4.1 kJ per mole of atoms
- Formation energy (no corrections): -1.23 eV/atom
- Symmetry: Pm (6)

Cell: 5.389 4.751 5.769 Å, 90.00 114.09 90.00°
Atoms (fractional coordinates):
Ca (0.000, 0.000, 0.000)
Te (0.782, 0.500, 0.589)
Br (0.173, 0.500, 0.415)
Cl (0.493, 0.000, 0.984)

---

Record 4
The following is a PBE calculation of a relaxed structure of PrGa2Hg, from the Alexandria database.

## Properties
- Crystal system: tetragonal
- Energy of formation from the pure elements: -0.423 eV per atom
- Distance to the lowest polymorph of the same formula: 0.0 kJ per mole of atoms
- Symmetry: P4/mmm (123)

Cell: 4.576 4.576 4.397 Å, 90.00 90.00 90.00°
Atoms (fractional coordinates):
Pr (0.000, 0.000, 0.000)
Ga (0.000, 0.500, 0.500)
Ga (0.500, 0.000, 0.500)
Hg (0.500, 0.500, 0.000)

---

Record 5
The following is a PBE calculation of a relaxed structure of CaErSn2, from the Alexandria database.

## Properties
- Crystal system: orthorhombic
- Energy of formation from the pure elements: -0.628 eV per atom
- Symmetry: Amm2 (38)

Cell: 4.282 6.190 6.190 Å, 43.83 90.00 90.00°
Atoms (fractional coordinates):
Ca (0.000, 0.000, 0.000)
Er (0.500, 0.731, 0.731)
Sn (0.000, 0.273, 0.273)
Sn (0.500, 0.454, 0.454)

---

Record 6
The following is a PBE calculation of a relaxed structure of Ga2AgHg, from the Alexandria database.

## Properties
- Crystal system: trigonal
- Energy of formation from the pure elements: 0.083 eV per atom
- Symmetry: R3m (160)

Cell: 5.560 5.560 5.560 Å, 47.63 47.63 47.63°
Atoms (fractional coordinates):
Ga (0.000, 0.000, 0.000)
Ga (0.201, 0.201, 0.201)
Ag (0.584, 0.584, 0.584)
Hg (0.779, 0.779, 0.779)

---

Record 7
The following is a PBE calculation of a relaxed structure of Tb2DyCd2In2, from the Alexandria database.

## Properties
- Crystal system: trigonal
- Energy of formation from the pure elements: -0.251 eV per atom
- Symmetry: R-3m (166)

Cell: 9.406 9.406 9.406 Å, 30.44 30.44 30.44°
Atoms (fractional coordinates):
Tb (0.128, 0.128, 0.128)
Tb (0.872, 0.872, 0.872)
Dy (0.000, 0.000, 0.000)
Cd (0.395, 0.395, 0.395)
Cd (0.605, 0.605, 0.605)
In (0.260, 0.260, 0.260)
In (0.740, 0.740, 0.740)

---

Record 8
The following is a PBE calculation of a relaxed structure of NaTh2P3Rh12, from the Alexandria database.

## Properties
- Crystal system: trigonal
- Energy of formation from the pure elements: -0.337 eV per atom
- Symmetry: R-3m (166)

Cell: 6.757 6.757 6.757 Å, 82.58 82.58 82.58°
Atoms (fractional coordinates):
Na (0.000, 0.000, 0.000)
Th (0.370, 0.370, 0.370)
Th (0.630, 0.630, 0.630)
P (0.000, 0.000, 0.500)
P (0.000, 0.500, 0.000)
P (0.500, 0.000, 0.000)
Rh (0.095, 0.636, 0.636)
Rh (0.176, 0.176, 0.662)
Rh (0.176, 0.662, 0.176)
Rh (0.338, 0.824, 0.824)
Rh (0.364, 0.364, 0.905)
Rh (0.364, 0.905, 0.364)
Rh (0.636, 0.095, 0.636)
Rh (0.636, 0.636, 0.095)
Rh (0.662, 0.176, 0.176)
Rh (0.824, 0.338, 0.824)
Rh (0.824, 0.824, 0.338)
Rh (0.905, 0.364, 0.364)

---

Record 9
The following is a PBE calculation of a relaxed structure of BeCdPt3, from the Alexandria database.

## Properties
- Crystal system: monoclinic
- Energy of formation from the pure elements: -0.406 eV per atom
- Distance to the lowest polymorph of the same formula: 3.1 kJ per mole of atoms
- Symmetry: P2/m (10)

Cell: 7.578 2.832 7.655 Å, 90.00 108.11 90.00°
Atoms (fractional coordinates):
Be (0.047, 0.000, 0.371)
Be (0.953, 0.000, 0.629)
Cd (0.500, 0.000, 0.500)
Cd (0.500, 0.500, 0.000)
Pt (0.165, 0.000, 0.920)
Pt (0.211, 0.500, 0.238)
Pt (0.211, 0.500, 0.615)
Pt (0.789, 0.500, 0.385)
Pt (0.789, 0.500, 0.762)
Pt (0.835, 0.000, 0.080)

---

Record 10
The following is a PBE calculation of a relaxed structure of MgIn5Hg4, from the Alexandria database.

## Properties
- Crystal system: monoclinic
- Energy of formation from the pure elements: -0.019 eV per atom
- Symmetry: C2/m (12)

Cell: 8.716 8.716 6.536 Å, 105.17 105.17 32.10°
Atoms (fractional coordinates):
Mg (0.000, 0.000, 0.000)
In (0.000, 0.000, 0.500)
In (0.207, 0.207, 0.608)
In (0.388, 0.388, 0.199)
In (0.612, 0.612, 0.801)
In (0.793, 0.793, 0.392)
Hg (0.188, 0.188, 0.106)
Hg (0.416, 0.416, 0.717)
Hg (0.584, 0.584, 0.283)
Hg (0.812, 0.812, 0.894)

---

Record 11
The following is a PBE calculation of a relaxed structure of Tl8Se3I2, from the Alexandria database.

## Properties
- Crystal system: monoclinic
- Formation energy (no corrections): -0.42 eV/atom
- Symmetry: C2/m (12)

Cell: 9.397 9.397 7.622 Å, 104.17 104.17 55.17°
Atoms (fractional coordinates):
Tl (0.091, 0.091, 0.259)
Tl (0.134, 0.658, 0.279)
Tl (0.342, 0.866, 0.721)
Tl (0.388, 0.388, 0.764)
Tl (0.612, 0.612, 0.236)
Tl (0.658, 0.134, 0.279)
Tl (0.866, 0.342, 0.721)
Tl (0.909, 0.909, 0.741)
Se (0.250, 0.750, 0.000)
Se (0.500, 0.500, 0.500)
Se (0.750, 0.250, 0.000)
I (0.252, 0.252, 0.091)
I (0.748, 0.748, 0.909)

---

Record 12
The following is a PBE calculation of a relaxed structure of Ag2AuS2, from the Alexandria database.

## Properties
- Crystal system: tetragonal
- Distance to the lowest polymorph of the same formula: 16.7 kJ per mole of atoms
- Formation energy (no corrections): 0.15 eV/atom
- Symmetry: P4/mbm (127)

Cell: 6.946 6.946 3.942 Å, 90.00 90.00 90.00°
Atoms (fractional coordinates):
Ag (0.145, 0.355, 0.000)
Ag (0.355, 0.855, 0.000)
Ag (0.645, 0.145, 0.000)
Ag (0.855, 0.645, 0.000)
Au (0.000, 0.000, 0.500)
Au (0.500, 0.500, 0.500)
S (0.174, 0.674, 0.500)
S (0.326, 0.174, 0.500)
S (0.674, 0.826, 0.500)
S (0.826, 0.326, 0.500)

---

So what do the calculations give for VASP energy? Going down the list: -4.324, -4.526, -3.397, -3.207, -4.271, -2.219, -3.276, -7.037, -4.959, -1.669, -2.923, -3.292 eV/atom.